Model i:
The following is a DFT calculation (PBE-GGA) of a relaxed BaScBi3 crystal.

- Total moment: 0.0 Bohr magnetons per cell

Cell and atoms, written as POSCAR:
```
BaScBi3
1.0
15.4002 0.0000 0.0000
0.0000 6.4339 0.0000
0.0000 0.0000 7.0371
Ba Sc Bi
4 4 12
Direct
0.1884 0.0063 0.2500 Ba
0.1884 0.4937 0.7500 Ba
0.8116 0.5063 0.2500 Ba
0.8116 0.9937 0.7500 Ba
0.4127 0.7500 0.0000 Sc
0.4127 0.7500 0.5000 Sc
0.5873 0.2500 0.0000 Sc
0.5873 0.2500 0.5000 Sc
0.0023 0.7500 0.0000 Bi
0.0023 0.7500 0.5000 Bi
0.2917 0.0027 0.7500 Bi
0.2917 0.4973 0.2500 Bi
0.4331 0.1375 0.2500 Bi
0.4331 0.3625 0.7500 Bi
0.5669 0.6375 0.2500 Bi
0.5669 0.8625 0.7500 Bi
0.7083 0.5027 0.7500 Bi
0.7083 0.9973 0.2500 Bi
0.9977 0.2500 0.0000 Bi
0.9977 0.2500 0.5000 Bi
```

Model ii:
The following is a DFT calculation (PBE-GGA) of a relaxed BaScBi3 crystal.

- Total moment: 0.0 Bohr magnetons per cell

Cell and atoms, written as POSCAR:
```
BaScBi3
1.0
5.6936 0.0000 0.0000
0.0000 5.6936 0.0000
0.0000 0.0000 5.6936
Ba Sc Bi
1 1 3
Direct
0.0000 0.0000 0.0000 Ba
0.5000 0.5000 0.5000 Sc
0.0000 0.5000 0.5000 Bi
0.5000 0.0000 0.5000 Bi
0.5000 0.5000 0.0000 Bi
```

Relative energy table, unit kJ/mol of atoms: model i 0.0; model ii 12.6

Model i:
The following is a DFT calculation (PBE-GGA) of a relaxed BaSc2TcBi crystal.

- Total moment: 0.0 Bohr magnetons per cell

Cell and atoms, written as POSCAR:
```
BaSc2TcBi
1.0
5.1264 0.0000 0.0000
0.0000 5.1264 0.0000
0.0000 0.0000 5.6099
Ba Sc Tc Bi
1 2 1 1
Direct
0.0000 0.0000 0.0000 Ba
0.0000 0.5000 0.5000 Sc
0.5000 0.0000 0.5000 Sc
0.0000 0.0000 0.5000 Tc
0.5000 0.5000 0.0000 Bi
```

Model ii:
The following is a DFT calculation (PBE-GGA) of a relaxed BaSc2TcBi crystal.

- Total moment: 0.0 Bohr magnetons per cell

Cell and atoms, written as POSCAR:
```
BaSc2TcBi
1.0
5.1269 0.0000 0.0000
0.0000 5.1269 0.0000
0.0000 0.0000 5.4954
Ba Sc Tc Bi
1 2 1 1
Direct
0.0000 0.0000 0.0000 Ba
0.0000 0.5000 0.5000 Sc
0.5000 0.0000 0.5000 Sc
0.5000 0.5000 0.5000 Tc
0.5000 0.5000 0.0000 Bi
```

Relative energy table, unit kJ/mol of atoms: model i 16.7; model ii 0.0

Model i:
The following is a DFT calculation (PBE-GGA) of a relaxed BaBi3Se crystal.

- Total moment: 0.0 Bohr magnetons per cell

Cell and atoms, written as POSCAR:
```
BaBi3Se
1.0
5.7208 0.0000 0.0000
0.0000 5.7208 0.0000
0.0000 0.0000 5.7208
Ba Bi Se
1 3 1
Direct
0.0000 0.0000 0.0000 Ba
0.0000 0.5000 0.5000 Bi
0.5000 0.0000 0.5000 Bi
0.5000 0.5000 0.0000 Bi
0.5000 0.5000 0.5000 Se
```

Model ii:
The following is a DFT calculation (PBE-GGA) of a relaxed BaBi3Se crystal.

- Total moment: 1.6 Bohr magnetons per cell

Cell and atoms, written as POSCAR:
```
BaBi3Se
1.0
6.3894 0.0000 0.0000
0.0000 6.3894 0.0000
0.0000 0.0000 6.3894
Ba Bi Se
1 3 1
Direct
0.0000 0.0000 0.0000 Ba
0.0000 0.0000 0.5000 Bi
0.0000 0.5000 0.0000 Bi
0.5000 0.0000 0.0000 Bi
0.5000 0.5000 0.5000 Se
```

Relative energy table, unit kJ/mol of atoms: model i 0.0; model ii 117.8

Model i:
The following is a DFT calculation (PBE-GGA) of a relaxed Ba2BiSe2 crystal.

- Total moment: 0.0 Bohr magnetons per cell

Cell and atoms, written as POSCAR:
```
Ba2BiSe2
1.0
8.7752 0.0000 0.0000
0.0000 8.7752 0.0000
0.0000 0.0000 4.4010
Ba Bi Se
4 2 4
Direct
0.1571 0.3429 0.0000 Ba
0.3429 0.8429 0.0000 Ba
0.6571 0.1571 0.0000 Ba
0.8429 0.6571 0.0000 Ba
0.0000 0.0000 0.5000 Bi
0.5000 0.5000 0.5000 Bi
0.1550 0.6550 0.5000 Se
0.3450 0.1550 0.5000 Se
0.6550 0.8450 0.5000 Se
0.8450 0.3450 0.5000 Se
```

Model ii:
The following is a DFT calculation (PBE-GGA) of a relaxed Ba2BiSe2 crystal.

- Total moment: 0.0 Bohr magnetons per cell

Cell and atoms, written as POSCAR:
```
Ba2BiSe2
1.0
-2.1787 2.1787 9.4020
2.1787 -2.1787 9.4020
2.1787 2.1787 -9.4020
Ba Bi Se
2 1 2
Direct
0.1178 0.1178 0.0000 Ba
0.8822 0.8822 0.0000 Ba
0.5000 0.5000 0.0000 Bi
0.2500 0.7500 0.5000 Se
0.7500 0.2500 0.5000 Se
```

Relative energy table, unit kJ/mol of atoms: model i 0.0; model ii 31.4

Model i:
The following is a DFT calculation (PBE-GGA) of a relaxed Ba3SiBi crystal.

- Total moment: 1.6 Bohr magnetons per cell

Cell and atoms, written as POSCAR:
```
Ba3SiBi
1.0
12.8976 -2.2722 0.0000
12.8976 2.2722 0.0000
-0.8352 0.0000 7.2450
Ba Si Bi
6 2 2
Direct
0.9997 0.9997 0.2307 Ba
0.0003 0.0003 0.7693 Ba
0.1912 0.1912 0.1199 Ba
0.3608 0.3608 0.4408 Ba
0.6392 0.6392 0.5592 Ba
0.8088 0.8088 0.8801 Ba
0.2380 0.2380 0.5781 Si
0.7620 0.7620 0.4219 Si
0.4113 0.4113 0.9634 Bi
0.5887 0.5887 0.0366 Bi
```

Model ii:
The following is a DFT calculation (PBE-GGA) of a relaxed Ba3SiBi crystal.

- Total moment: 0.0 Bohr magnetons per cell

Cell and atoms, written as POSCAR:
```
Ba3SiBi
1.0
6.2156 0.0000 0.0000
0.0000 6.2156 0.0000
0.0000 0.0000 6.2156
Ba Si Bi
3 1 1
Direct
0.0000 0.0000 0.5000 Ba
0.0000 0.5000 0.0000 Ba
0.5000 0.0000 0.0000 Ba
0.0000 0.0000 0.0000 Si
0.5000 0.5000 0.5000 Bi
```

Model iii:
The following is a DFT calculation (PBE-GGA) of a relaxed Ba3SiBi crystal.

- Total moment: 1.4 Bohr magnetons per cell

Cell and atoms, written as POSCAR:
```
Ba3SiBi
1.0
9.4547 -2.2901 0.0000
9.4547 2.2901 0.0000
-0.8230 0.0000 9.7544
Ba Si Bi
6 2 2
Direct
0.0000 0.0000 0.0000 Ba
0.1485 0.1485 0.6308 Ba
0.3648 0.3648 0.7597 Ba
0.5137 0.5137 0.3899 Ba
0.7110 0.7110 0.0215 Ba
0.8028 0.8028 0.3690 Ba
0.5356 0.5356 0.7427 Si
0.9776 0.9776 0.6471 Si
0.1483 0.1483 0.2686 Bi
0.3654 0.3654 0.1218 Bi
```

Relative energy table, unit kJ/mol of atoms: model i 2.4; model ii 20.0; model iii 0.0

Model i:
The following is a DFT calculation (PBE-GGA) of a relaxed Ba2SiBi crystal.

- Total moment: 1.0 Bohr magnetons per cell

Cell and atoms, written as POSCAR:
```
Ba2SiBi
1.0
9.4474 0.0000 0.0000
0.0000 9.9189 0.0000
-3.3088 0.0000 8.5136
Ba Si Bi
8 4 4
Direct
0.2118 0.2500 0.1433 Ba
0.2118 0.2500 0.6433 Ba
0.2573 0.6661 0.4068 Ba
0.2573 0.8339 0.9068 Ba
0.7427 0.1661 0.0932 Ba
0.7427 0.3339 0.5932 Ba
0.7882 0.7500 0.3567 Ba
0.7882 0.7500 0.8567 Ba
0.1084 0.5602 0.0161 Si
0.1084 0.9398 0.5161 Si
0.8916 0.0602 0.4839 Si
0.8916 0.4398 0.9839 Si
0.0469 0.5694 0.6913 Bi
0.0469 0.9306 0.1913 Bi
0.9531 0.0694 0.8087 Bi
0.9531 0.4306 0.3087 Bi
```

Model ii:
The following is a DFT calculation (PBE-GGA) of a relaxed Ba2SiBi crystal.

- Total moment: 0.0 Bohr magnetons per cell

Cell and atoms, written as POSCAR:
```
Ba2SiBi
1.0
0.0000 4.1967 4.1967
4.1967 0.0000 4.1967
4.1967 4.1967 0.0000
Ba Si Bi
2 1 1
Direct
0.2500 0.2500 0.2500 Ba
0.7500 0.7500 0.7500 Ba
0.0000 0.0000 0.0000 Si
0.5000 0.5000 0.5000 Bi
```

Model iii:
The following is a DFT calculation (PBE-GGA) of a relaxed Ba2SiBi crystal.

- Total moment: 0.0 Bohr magnetons per cell

Cell and atoms, written as POSCAR:
```
Ba2SiBi
1.0
-4.6411 4.6411 3.5394
4.6411 -4.6411 3.5394
4.6411 4.6411 -3.5394
Ba Si Bi
4 2 2
Direct
0.1017 0.6250 0.9767 Ba
0.3750 0.3517 0.4767 Ba
0.6483 0.1250 0.0233 Ba
0.8750 0.8983 0.5233 Ba
0.0000 0.0000 0.0000 Si
0.7500 0.2500 0.5000 Si
0.2500 0.7500 0.5000 Bi
0.5000 0.5000 0.0000 Bi
```

Relative energy table, unit kJ/mol of atoms: model i 2.4; model ii 0.0; model iii 17.1